# 1
Compound: Tl3CdCl
Source: the Alexandria database
Functional: PBE
Structure: optimized geometry

Lattice parameters (Å, degrees): 5.754 5.754 5.754 90.00 90.00 90.00
Fractional positions:
Tl1 0.000 0.500 0.000
Tl2 0.000 0.000 0.500
Tl3 0.500 0.000 0.000
Cl1 0.500 0.500 0.500
Cd1 0.000 0.000 0.000

The symmetry is Pm-3m, No. 221. The raw formation energy is -0.0334 eV per atom. The calculation puts the magnetic moment at 0.00 μB per formula unit. The energy above the most stable polymorph in this dataset comes out at 0.005 eV per atom.


# 2
Compound: Tl2Cd2Cl5
Source: the Alexandria database
Functional: PBE
Structure: optimized geometry

Lattice parameters (Å, degrees): 5.508 7.847 7.801 113.51 90.00 110.55
Fractional positions:
Tl1 0.388 0.776 0.695
Tl2 0.612 0.224 0.305
Cd1 0.142 0.283 0.868
Cd2 0.858 0.717 0.132
Cl1 0.350 0.701 0.097
Cl2 0.650 0.299 0.903
Cl3 0.153 0.306 0.543
Cl4 0.847 0.694 0.457
Cl5 0.000 0.000 0.000

The symmetry is C2/m, No. 12. The raw formation energy is -0.8899 eV per atom. The calculation puts the magnetic moment at 0.00 μB per formula unit. The energy above the most stable polymorph in this dataset comes out at 0.000 eV per atom.


# 3
Compound: TlCdCl2
Source: the Alexandria database
Functional: PBE
Structure: optimized geometry

Lattice parameters (Å, degrees): 8.675 8.675 8.675 27.01 27.01 27.01
Fractional positions:
Tl1 0.497 0.497 0.497
Cl1 0.026 0.026 0.026
Cl2 0.231 0.231 0.231
Cd1 0.746 0.746 0.746

The symmetry is R3m, No. 160. The raw formation energy is -0.6336 eV per atom. The calculation puts the magnetic moment at 0.00 μB per formula unit. The energy above the most stable polymorph in this dataset comes out at 0.091 eV per atom.


# 4
Compound: TmTlCd2Cl8
Source: the Alexandria database
Functional: PBE
Structure: optimized geometry

Lattice parameters (Å, degrees): 6.532 6.515 9.026 80.11 80.69 80.53
Fractional positions:
Tm1 0.000 0.000 0.000
Tl1 0.000 0.000 0.500
Cd1 0.450 0.443 0.723
Cd2 0.550 0.557 0.277
Cl1 0.178 0.748 0.218
Cl2 0.721 0.747 0.025
Cl3 0.768 0.197 0.212
Cl4 0.822 0.252 0.782
Cl5 0.279 0.253 0.975
Cl6 0.232 0.803 0.788
Cl7 0.661 0.686 0.499
Cl8 0.339 0.314 0.501

The symmetry is P-1, No. 2. The raw formation energy is -1.4379 eV per atom. The calculation puts the magnetic moment at 0.00 μB per formula unit.


# 5
Compound: UTl2CdCl8
Source: the Alexandria database
Functional: PBE
Structure: optimized geometry

Lattice parameters (Å, degrees): 7.056 6.757 8.670 89.97 90.04 93.44
Site moments in Bohr magnetons follow the coordinates.
Fractional positions:
U1 0.000 0.000 0.500  2.05
Tl1 0.500 0.500 0.761  0.00
Tl2 0.500 0.500 0.239  0.00
Cd1 0.000 0.000 0.000  0.00
Cl1 0.129 0.780 0.275  -0.02
Cl2 0.705 0.797 0.000  0.00
Cl3 0.871 0.220 0.275  -0.02
Cl4 0.871 0.220 0.725  -0.02
Cl5 0.295 0.203 0.000  0.00
Cl6 0.129 0.780 0.725  -0.02
Cl7 0.678 0.784 0.500  -0.02
Cl8 0.322 0.216 0.500  -0.02

The symmetry is P2/m, No. 10. The raw formation energy is -1.3187 eV per atom. The calculation puts the magnetic moment at 2.00 μB per formula unit.


# 6
Compound: UTlCdCl6
Source: the Alexandria database
Functional: PBE
Structure: optimized geometry

Lattice parameters (Å, degrees): 7.151 7.151 13.715 90.00 90.00 120.00
Site moments in Bohr magnetons follow the coordinates.
Fractional positions:
U1 0.333 0.667 0.250  2.85
U2 0.667 0.333 0.750  2.85
Tl1 0.000 0.000 0.000  0.00
Tl2 0.000 0.000 0.500  0.00
Cd1 0.667 0.333 0.250  0.04
Cd2 0.333 0.667 0.750  0.04
Cl1 0.630 0.623 0.139  -0.01
Cl2 0.993 0.370 0.139  -0.01
Cl3 0.370 0.993 0.639  -0.01
Cl4 0.007 0.630 0.861  -0.01
Cl5 0.377 0.370 0.361  -0.01
Cl6 0.993 0.623 0.361  -0.01
Cl7 0.623 0.993 0.861  -0.01
Cl8 0.630 0.007 0.361  -0.01
Cl9 0.007 0.377 0.639  -0.01
Cl10 0.377 0.007 0.139  -0.01
Cl11 0.623 0.630 0.639  -0.01
Cl12 0.370 0.377 0.861  -0.01

The symmetry is P-31c, No. 163. The raw formation energy is -1.3416 eV per atom. The calculation puts the magnetic moment at 3.01 μB per formula unit.


# 7
Compound: TlV2CdCl8
Source: the Alexandria database
Functional: PBE
Structure: optimized geometry

Lattice parameters (Å, degrees): 6.431 6.187 7.677 89.99 89.99 86.21
Site moments in Bohr magnetons follow the coordinates.
Fractional positions:
Tl1 0.000 0.000 0.500  -0.01
V1 0.500 0.500 0.755  2.28
V2 0.500 0.500 0.245  2.28
Cd1 0.000 0.000 0.000  0.03
Cl1 0.174 0.717 0.223  -0.02
Cl2 0.631 0.723 0.000  -0.03
Cl3 0.826 0.283 0.223  -0.02
Cl4 0.826 0.283 0.777  -0.02
Cl5 0.369 0.277 0.000  -0.03
Cl6 0.174 0.717 0.777  -0.02
Cl7 0.617 0.706 0.500  -0.04
Cl8 0.383 0.294 0.500  -0.04

The symmetry is P2/m, No. 10. The raw formation energy is -1.0498 eV per atom. The calculation puts the magnetic moment at 5.00 μB per formula unit.


# 8
Compound: Tl2VCdCl6
Source: the Alexandria database
Functional: PBE
Structure: optimized geometry

Lattice parameters (Å, degrees): 7.116 7.207 10.232 90.00 90.05 90.00
Site moments in Bohr magnetons follow the coordinates.
Fractional positions:
Tl1 0.011 0.949 0.251  0.00
Tl2 0.511 0.551 0.751  0.00
Tl3 0.989 0.051 0.749  0.00
Tl4 0.489 0.449 0.249  0.00
V1 0.500 0.000 0.000  2.57
V2 0.000 0.500 0.500  2.57
Cd1 0.500 0.000 0.500  0.02
Cd2 0.000 0.500 0.000  0.02
Cl1 0.303 0.716 0.030  -0.01
Cl2 0.803 0.784 0.530  -0.01
Cl3 0.697 0.284 0.970  -0.01
Cl4 0.197 0.216 0.470  -0.01
Cl5 0.284 0.699 0.469  -0.01
Cl6 0.784 0.801 0.969  -0.01
Cl7 0.716 0.301 0.531  -0.01
Cl8 0.216 0.199 0.031  -0.01
Cl9 0.937 0.502 0.259  -0.01
Cl10 0.437 0.998 0.759  -0.01
Cl11 0.063 0.498 0.741  -0.01
Cl12 0.563 0.002 0.241  -0.01

The symmetry is P2_1/c, No. 14. The raw formation energy is -1.0500 eV per atom. The calculation puts the magnetic moment at 3.00 μB per formula unit.


# 9
Compound: YTlCd2Cl8
Source: the Alexandria database
Functional: PBE
Structure: optimized geometry

Lattice parameters (Å, degrees): 6.558 6.542 9.076 80.39 80.84 80.89
Fractional positions:
Y1 0.000 0.000 0.000
Tl1 0.000 0.000 0.500
Cd1 0.451 0.445 0.721
Cd2 0.549 0.555 0.279
Cl1 0.181 0.750 0.220
Cl2 0.719 0.741 0.028
Cl3 0.767 0.198 0.215
Cl4 0.819 0.250 0.780
Cl5 0.281 0.259 0.972
Cl6 0.233 0.802 0.785
Cl7 0.664 0.683 0.499
Cl8 0.336 0.317 0.501

The symmetry is P-1, No. 2. The raw formation energy is -1.4382 eV per atom. The calculation puts the magnetic moment at 0.00 μB per formula unit.


# 10
Compound: TlZnCdCl5
Source: the Alexandria database
Functional: PBE
Structure: optimized geometry

Lattice parameters (Å, degrees): 7.457 7.457 9.445 103.72 103.72 106.22
Fractional positions:
Tl1 0.347 0.653 0.250
Tl2 0.653 0.347 0.750
Zn1 0.687 0.313 0.250
Zn2 0.313 0.687 0.750
Cd1 0.000 0.000 0.500
Cd2 0.000 0.000 0.000
Cl1 0.081 0.919 0.250
Cl2 0.919 0.081 0.750
Cl3 0.907 0.320 0.115
Cl4 0.093 0.680 0.885
Cl5 0.680 0.093 0.385
Cl6 0.320 0.907 0.615
Cl7 0.757 0.612 0.434
Cl8 0.243 0.388 0.566
Cl9 0.388 0.243 0.066
Cl10 0.612 0.757 0.934

The symmetry is C2/c, No. 15. The raw formation energy is -1.0938 eV per atom. The calculation puts the magnetic moment at 0.00 μB per formula unit.


# 11
Compound: TlZn2CdCl8
Source: the Alexandria database
Functional: PBE
Structure: optimized geometry

Lattice parameters (Å, degrees): 6.425 6.425 9.845 70.96 70.96 60.00
Site moments in Bohr magnetons follow the coordinates.
Fractional positions:
Tl1 0.500 0.500 0.500  0.00
Zn1 0.253 0.253 0.241  0.01
Zn2 0.747 0.747 0.759  0.01
Cd1 0.000 0.000 0.000  0.00
Cl1 0.170 0.170 0.491  0.19
Cl2 0.613 0.285 0.172  0.06
Cl3 0.830 0.830 0.509  0.19
Cl4 0.930 0.613 0.172  0.06
Cl5 0.070 0.387 0.828  0.06
Cl6 0.285 0.930 0.172  0.06
Cl7 0.715 0.070 0.828  0.06
Cl8 0.387 0.715 0.828  0.06

The symmetry is R-3, No. 148. The raw formation energy is -0.9174 eV per atom. The calculation puts the magnetic moment at 1.01 μB per formula unit.